First-principles (PBE) data for a geometry-optimized Np2AlSi3Pt4 structure, as listed in the Alexandria database.

Lattice parameters (Å, degrees): 4.1722 4.1722 10.1947 90.00 90.00 90.00
Fractional coordinates of all 10 atoms:
1 Si 0.0000 0.5000 0.1331
2 Si 0.5000 0.0000 0.8669
3 Si 0.0000 0.0000 0.5000
4 Pt 0.5000 0.0000 0.6329
5 Pt 0.5000 0.5000 0.0000
6 Pt 0.0000 0.5000 0.3671
7 Pt 0.0000 0.0000 0.0000
8 Np 0.5000 0.0000 0.2499
9 Np 0.0000 0.5000 0.7501
10 Al 0.5000 0.5000 0.5000

DOS(E_F)	21.4	states/eV/cell
space-group type	No. 115
V	177	Å³/cell
formation energy from raw total energies	-744	kJ/mol of formula units

=====

First-principles (PBE) data for a geometry-optimized AlCuSe2 structure, as listed in the Alexandria database.

Lattice parameters (Å, degrees): 6.1056 6.1056 3.6718 107.42 107.42 34.99
Fractional coordinates of all 4 atoms:
1 Se 0.7327 0.7327 0.7324
2 Se 0.0215 0.0215 0.0218
3 Cu 0.2489 0.2489 0.2487
4 Al 0.4969 0.4969 0.4971

DOS(E_F)	1.6	states/eV/cell
space-group type	No. 8
V	75	Å³/cell
formation energy from raw total energies	-98	kJ/mol of formula units

=====

First-principles (PBE) data for a geometry-optimized Sr2BePt structure, as listed in the Alexandria database.

Lattice parameters (Å, degrees): 3.4458 3.4458 8.8078 90.00 90.00 90.00
Fractional coordinates of all 4 atoms:
1 Pt 0.5000 0.5000 0.6636
2 Be 0.0000 0.0000 0.5910
3 Sr 0.0000 0.0000 0.9159
4 Sr 0.5000 0.5000 0.3296

DOS(E_F)	2.4	states/eV/cell
space-group type	No. 99
V	105	Å³/cell
ΔH_f (0 K)	-168.6	meV per atom

=====

> The lowest V belongs to which entry?

AlCuSe2

=====

> What is the DOS(E_F) in the third record?

2.4 states/eV/cell

=====

> What is the formula in the third record?

Sr2BePt

=====

> Look up the V of the first one.

177 Å³/cell